No. 1
Compound: Sr3LiH3
Source: Alexandria via LeMat-Bulk
Functional: PBE
Structure: optimized geometry

## Properties
Space-group type: Pm-3n, No. 223
N(E_F), states/eV per atom: 0.167
Raw total energy, eV/cell: -37.40

```
14
Lattice="7.0080 0.0000 0.0000 0.0000 7.0080 0.0000 0.0000 0.0000 7.0080" Properties=species:S:1:pos:R:3 pbc="T T T"
H 0.0000 3.5040 5.2560
H 5.2560 0.0000 3.5040
H 3.5040 1.7520 0.0000
H 1.7520 0.0000 3.5040
H 3.5040 5.2560 0.0000
H 0.0000 3.5040 1.7520
Sr 0.0000 5.2560 3.5040
Sr 3.5040 0.0000 1.7520
Sr 3.5040 0.0000 5.2560
Sr 1.7520 3.5040 0.0000
Sr 0.0000 1.7520 3.5040
Sr 5.2560 3.5040 0.0000
Li 0.0000 0.0000 0.0000
Li 3.5040 3.5040 3.5040
```

---

No. 2
Compound: Mg3HgBi
Source: Alexandria via LeMat-Bulk
Functional: PBE
Structure: optimized geometry

## Properties
Space-group type: P-1, No. 2
N(E_F), states/eV per atom: 0.298
Energy of formation from the pure elements, eV per atom: -0.153
Polymorph energy (0 for the lowest one), eV/atom: 0.000
Raw total energy, eV/cell: -19.46

```
10
Lattice="4.6730 0.0031 -0.0142 -2.3642 7.3120 -0.4688 -0.0438 -3.3071 7.9147" Properties=species:S:1:pos:R:3 pbc="T T T"
Bi 2.3486 0.2637 3.3540
Bi -0.0837 3.7443 4.0776
Mg 2.2868 -1.0570 6.0925
Mg 0.0064 0.1273 1.5833
Mg 2.3113 2.8346 1.8849
Mg -0.0219 5.0651 1.3391
Mg 2.2585 3.8808 5.8484
Mg -0.0463 1.1735 5.5467
Hg 2.2708 1.5457 7.5355
Hg -0.0058 2.4624 -0.1039
```

---

No. 3
Compound: HoTm3Ni
Source: Alexandria via LeMat-Bulk
Functional: PBE
Structure: optimized geometry

## Properties
Space-group type: P2_1/c, No. 14
N(E_F), states/eV per atom: 1.058
Energy of formation from the pure elements, eV per atom: -0.127
Polymorph energy (0 for the lowest one), eV/atom: 0.000
Raw total energy, eV/cell: -97.63

```
20
Lattice="7.0575 0.0000 0.0000 0.0000 7.8197 -0.1221 0.0000 -2.7238 9.4396" Properties=species:S:1:pos:R:3 pbc="T T T"
Tm 2.6087 -1.7645 8.4332
Tm 6.9872 1.3724 1.1295
Tm 4.4488 6.8603 0.8842
Tm 2.0570 4.3597 0.1760
Tm 0.0702 3.7235 8.1880
Tm 3.4585 5.0854 3.4682
Tm 6.1374 5.4984 5.6041
Tm 5.0004 0.7361 9.1415
Tm 1.4717 2.9978 4.8958
Tm 0.9201 -0.4026 3.7134
Tm 5.5858 2.0981 4.4217
Tm 3.5990 0.0105 5.8493
Ho 6.7716 4.6591 2.3623
Ho 0.2859 0.4368 6.9552
Ho 3.8146 3.2972 7.0821
Ho 3.2429 1.7987 2.2354
Ni 1.6903 7.0301 0.9048
Ni 5.2191 -0.5724 3.6929
Ni 5.3671 -1.9343 8.4127
Ni 1.8384 5.6682 5.6246
```

---

No. 4
Compound: NbRuC
Source: Alexandria via LeMat-Bulk
Functional: PBE
Structure: optimized geometry

## Properties
Space-group type: Cmmm, No. 65
N(E_F), states/eV per atom: 0.679
Energy of formation from the pure elements, eV per atom: -0.114
Raw total energy, eV/cell: -57.82

```
6
Lattice="3.0730 0.0000 0.0000 0.0000 5.0748 -0.0318 0.0000 -0.4780 5.0523" Properties=species:S:1:pos:R:3 pbc="T T T"
Ru 0.0000 1.3971 1.5259
Ru 0.0000 3.1997 3.4946
Nb 1.5365 3.9223 1.0234
Nb 1.5365 0.6744 3.9971
C 1.5365 2.2984 2.5102
C 0.0000 0.0000 0.0000
```

---

No. 5
Compound: NbCoNi6
Source: Alexandria via LeMat-Bulk
Functional: PBE
Structure: optimized geometry

## Properties
Space-group type: C2/m, No. 12
N(E_F), states/eV per atom: 1.268
Energy of formation from the pure elements, eV per atom: -0.109
Raw total energy, eV/cell: -52.74

```
8
Lattice="-2.7140 1.7562 -1.5440 -3.7912 -0.1966 2.2842 -0.2353 6.0036 3.0860" Properties=species:S:1:pos:R:3 pbc="T T T"
Co -2.0132 2.9035 2.6851
Ni -2.5796 3.5892 0.3046
Ni -2.5194 5.2792 2.1209
Ni -2.1088 1.1751 0.8872
Ni -4.2211 2.2840 1.7053
Ni -4.1609 3.9739 3.5216
Ni -4.6317 6.3881 2.9390
Nb 0.0000 0.0000 0.0000
```

---

No. 6
Compound: RbLi2BeGa
Source: Alexandria via LeMat-Bulk
Functional: PBE
Structure: optimized geometry

## Properties
Space-group type: P4/mmm, No. 123
N(E_F), states/eV per atom: 0.667
Energy of formation from the pure elements, eV per atom: 1.400
Raw total energy, eV/cell: -4.55

```
5
Lattice="-2.7329 -3.8397 2.4675 1.0847 -3.6781 -4.5222 4.4593 -1.6329 2.3978" Properties=species:S:1:pos:R:3 pbc="T T T"
Rb 0.0000 0.0000 0.0000
Ga 0.5424 -1.8391 -2.2611
Li -1.3664 -1.9199 1.2338
Li 2.2296 -0.8165 1.1989
Be 1.4056 -4.5754 0.1716
```

---

No. 7
Compound: ZrAl2Zn
Source: Alexandria via LeMat-Bulk
Functional: PBE
Structure: optimized geometry

## Properties
Space-group type: I4/mmm, No. 139
N(E_F), states/eV per atom: 0.821
Energy of formation from the pure elements, eV per atom: -0.287
Raw total energy, eV/cell: -18.45

```
4
Lattice="5.3317 0.0035 0.0000 2.3708 4.7756 0.0000 -3.8512 -2.3896 2.8080" Properties=species:S:1:pos:R:3 pbc="T T T"
Al 0.0000 0.0000 0.0000
Al 3.8512 2.3896 0.0000
Zr 2.6659 0.0018 1.4040
Zn 1.1854 2.3878 1.4040
```

---

No. 8
Compound: CeZnNi
Source: Alexandria via LeMat-Bulk
Functional: PBE
Structure: optimized geometry

## Properties
Space-group type: I4mm, No. 107
N(E_F), states/eV per atom: 1.862
Energy of formation from the pure elements, eV per atom: -0.225
Raw total energy, eV/cell: -13.66

```
3
Lattice="3.0781 0.0000 0.0000 0.0000 3.0781 0.0000 -1.5390 -1.5390 5.5554" Properties=species:S:1:pos:R:3 pbc="T T T"
Zn 0.0000 0.0000 3.3480
Ni 1.5390 1.5390 2.0543
Ce 0.0000 0.0000 0.1531
```

---

No. 9
Compound: Mg2Zn3
Source: Alexandria via LeMat-Bulk
Functional: PBE
Structure: optimized geometry

## Properties
Space-group type: Cmce, No. 64
N(E_F), states/eV per atom: 0.414
Energy of formation from the pure elements, eV per atom: -0.071
Polymorph energy (0 for the lowest one), eV/atom: 0.000
Raw total energy, eV/cell: -14.73

```
10
Lattice="5.3515 0.2109 0.0003 2.6521 4.6529 0.0003 -0.0004 -0.0003 7.4634" Properties=species:S:1:pos:R:3 pbc="T T T"
Zn 4.0016 2.4318 3.7320
Zn 3.7517 0.7593 5.5978
Zn 4.2514 4.1042 1.8662
Zn 5.6011 1.8832 1.8663
Zn -0.0004 -0.0002 7.4634
Zn 2.4020 2.9803 5.5978
Mg 5.1691 3.1412 6.7019
Mg 2.8340 1.7223 0.7621
Mg 6.8357 4.1541 2.9704
Mg 1.1674 0.7095 4.4937
```

---

No. 10
Compound: ZnReSb
Source: Alexandria via LeMat-Bulk
Functional: PBE
Structure: optimized geometry

## Properties
Space-group type: P-6m2, No. 187
N(E_F), states/eV per atom: 0.922
Uncorrected formation energy, meV/atom: 671
Polymorph energy (0 for the lowest one), eV/atom: 0.408
Raw total energy, eV/cell: -15.83

```
3
Lattice="-2.7776 2.9038 -2.5533 0.5124 -4.5524 -1.2961 -2.1711 -0.6926 1.5742" Properties=species:S:1:pos:R:3 pbc="T T T"
Sb -2.0427 0.3030 -1.8720
Zn -2.0314 -2.5286 -0.6659
Re -0.3623 -0.1156 0.2627
```

---

No. 11
Compound: CrCuSi2S
Source: Alexandria via LeMat-Bulk
Functional: PBE
Structure: optimized geometry

## Properties
Space-group type: P4/mmm, No. 123
N(E_F), states/eV per atom: 1.353
Uncorrected formation energy, meV/atom: 1256
Raw total energy, eV/cell: -22.41

```
5
Lattice="-3.2259 1.8536 -2.3310 0.6467 -3.1369 -3.3894 -2.9153 -2.6679 1.9129" Properties=species:S:1:pos:R:3 pbc="T T T"
Si -1.6129 0.9268 -1.1655
Si -1.4576 -1.3339 0.9564
Cu 0.0000 0.0000 0.0000
S 0.3233 -1.5685 -1.6947
Cr -2.7472 -1.9756 -1.9038
```

---

No. 12
Compound: PmZn3Au
Source: Alexandria via LeMat-Bulk
Functional: PBE
Structure: optimized geometry

## Properties
Space-group type: Cmcm, No. 63
N(E_F), states/eV per atom: 0.454
Energy of formation from the pure elements, eV per atom: -0.432
Polymorph energy (0 for the lowest one), eV/atom: 0.000
Raw total energy, eV/cell: -28.02

```
10
Lattice="-3.8238 -2.4185 -3.7867 3.1868 -5.6022 0.3601 -4.3199 0.8275 3.8336" Properties=species:S:1:pos:R:3 pbc="T T T"
Au -0.2309 -4.2689 0.6615
Au -4.7260 -2.9244 -0.2545
Pm -2.6023 -2.7864 2.1092
Pm -2.3546 -4.4068 -1.7022
Zn 2.0983 -5.3936 1.3259
Zn -4.2668 -5.2451 0.7640
Zn -7.0552 -1.7996 -0.9189
Zn -0.6901 -1.9482 -0.3570
Zn -5.1434 -0.5904 0.9744
Zn 0.1865 -6.6028 -0.5674
```

---

No. 13
Compound: HfCo4Mo
Source: Alexandria via LeMat-Bulk
Functional: PBE
Structure: optimized geometry

## Properties
Space-group type: F-43m, No. 216
N(E_F), states/eV per atom: 1.675
Energy of formation from the pure elements, eV per atom: -0.130
Raw total energy, eV/cell: -49.99

```
6
Lattice="4.7693 0.0000 0.0000 2.3847 4.1303 0.0000 2.3847 1.3768 3.8941" Properties=species:S:1:pos:R:3 pbc="T T T"
Mo 2.3847 1.3768 0.9735
Co 4.7693 1.3764 2.4340
Co 5.9620 3.4421 2.4340
Co 3.5767 3.4421 2.4340
Co 4.7693 2.7536 0.4864
Hf 0.0000 0.0000 0.0000
```

---

No. 14
Compound: HfPa2Ge2Ru5
Source: Alexandria via LeMat-Bulk
Functional: PBE
Structure: optimized geometry

## Properties
Space-group type: P4/mbm, No. 127
N(E_F), states/eV per atom: 0.839
Energy of formation from the pure elements, eV per atom: -0.485
Raw total energy, eV/cell: -178.83

```
20
Lattice="3.5537 0.0000 0.0000 0.0000 9.9671 0.0000 0.0000 0.0000 9.9671" Properties=species:S:1:pos:R:3 pbc="T T T"
Ru 1.7768 4.9836 0.0000
Ru 1.7768 9.2200 2.0883
Ru 1.7768 2.8952 5.7307
Ru 1.7768 4.2364 2.8952
Ru 1.7768 0.7471 7.8788
Ru 1.7768 7.0719 4.2364
Ru 1.7768 7.8788 9.2200
Ru 1.7768 2.0883 0.7471
Ru 1.7768 0.0000 4.9836
Ru 1.7768 5.7307 7.0719
Hf 0.0000 4.9836 4.9836
Hf 0.0000 0.0000 0.0000
Pa 0.0000 8.2220 6.7286
Pa 0.0000 3.2385 8.2220
Pa 0.0000 1.7451 3.2385
Pa 0.0000 6.7286 1.7451
Ge 0.0000 1.2229 6.2064
Ge 0.0000 6.2064 8.7442
Ge 0.0000 8.7442 3.7607
Ge 0.0000 3.7607 1.2229
```

---

No. 15
Compound: PmTlGe2Cl8
Source: Alexandria via LeMat-Bulk
Functional: PBE
Structure: optimized geometry

## Properties
Space-group type: P-1, No. 2
N(E_F), states/eV per atom: 0.000
Uncorrected formation energy, meV/atom: -1311
Raw total energy, eV/cell: -46.86

```
12
Lattice="6.9070 0.1919 0.2320 0.2441 6.3721 0.0756 0.2914 0.1004 9.1250" Properties=species:S:1:pos:R:3 pbc="T T T"
Cl 6.0473 1.8842 2.2080
Cl 2.5451 1.7298 8.8762
Cl 4.7228 4.7848 4.1195
Cl 5.8880 1.6323 7.4078
Cl 1.5545 5.0322 2.0247
Cl 2.7198 1.8797 5.3130
Cl 1.3952 4.7802 7.2245
Cl 4.8974 4.9346 0.5563
Ge 3.4951 3.1117 7.0881
Ge 3.9474 3.5527 2.3444
Tl 0.1457 0.0502 4.5625
Pm 0.0000 0.0000 0.0000
```

---

No. 16
Compound: Tb4Sm3Dy8
Source: Alexandria via LeMat-Bulk
Functional: PBE
Structure: optimized geometry

## Properties
Space-group type: C2/m, No. 12
N(E_F), states/eV per atom: 1.965
Energy of formation from the pure elements, eV per atom: 0.387
Raw total energy, eV/cell: -63.69

```
15
Lattice="-5.4763 -0.3489 3.9388 -1.7677 -3.1479 -8.5221 5.4468 -7.3966 1.1321" Properties=species:S:1:pos:R:3 pbc="T T T"
Sm -0.8986 -5.4467 -1.7256
Sm -3.6220 -1.7484 -2.2916
Sm -0.0147 -3.8728 2.5355
Tb -2.7381 -0.1745 1.9694
Tb 0.0000 0.0000 0.0000
Tb 2.7234 -3.6983 0.5661
Tb -0.8839 -1.5740 -4.2610
Dy 0.8180 -4.6707 -5.0619
Dy -2.6755 -4.4003 -4.1034
Dy 0.1623 -7.8711 -3.5853
Dy 0.8784 -6.4932 0.6523
Dy -2.7078 -8.1132 -1.5471
Dy -1.9595 -3.0223 0.1342
Dy 2.8611 -5.8739 -2.3280
Dy 0.9106 -2.7803 -1.9041
```

---

No. 17
Compound: Sm2EuAu
Source: Alexandria via LeMat-Bulk
Functional: PBE
Structure: optimized geometry

## Properties
Space-group type: R-3m, No. 166
N(E_F), states/eV per atom: 0.955
Energy of formation from the pure elements, eV per atom: 0.191
Polymorph energy (0 for the lowest one), eV/atom: 0.527
Raw total energy, eV/cell: -22.22

```
4
Lattice="3.6071 0.0000 0.0000 1.8035 3.1238 0.0000 1.8035 1.0413 11.7702" Properties=species:S:1:pos:R:3 pbc="T T T"
Sm 1.8035 1.0413 8.9364
Sm 5.4106 3.1238 2.8338
Au 0.0000 0.0000 0.0000
Eu 3.6071 2.0825 5.8851
```

---

No. 18
Compound: GdCu2Si2
Source: Alexandria via LeMat-Bulk
Functional: PBE
Structure: optimized geometry

## Properties
Space-group type: C2/m, No. 12
N(E_F), states/eV per atom: 0.299
Uncorrected formation energy, meV/atom: -598
Raw total energy, eV/cell: -36.11

```
5
Lattice="-3.4117 -0.7070 -1.9943 0.9384 -3.8965 -0.2314 -1.1062 1.4905 5.4262" Properties=species:S:1:pos:R:3 pbc="T T T"
Si -1.7854 -0.6184 3.2867
Si -1.7942 -2.4947 -0.0862
Gd 0.0000 0.0000 0.0000
Cu -0.7034 -2.3531 2.0405
Cu -2.8762 -0.7600 1.1599
```

---

No. 19
Compound: La4CdAg2Hg
Source: Alexandria via LeMat-Bulk
Functional: PBE
Structure: optimized geometry

## Properties
Space-group type: R-3m, No. 166
N(E_F), states/eV per atom: 1.016
Energy of formation from the pure elements, eV per atom: -0.332
Raw total energy, eV/cell: -29.29

```
8
Lattice="-1.9382 3.5280 -3.7173 -4.9588 -0.7826 -2.1954 -5.9724 5.8033 4.5838" Properties=species:S:1:pos:R:3 pbc="T T T"
La -4.5801 3.9505 2.0993
La -8.2893 4.5982 -3.4282
La -7.7953 6.0849 1.7634
La -5.0741 2.4638 -3.0923
Ag -9.6922 6.4650 -0.9249
Ag -3.1771 2.0837 -0.4040
Hg -6.4347 4.2743 -0.6645
Cd 0.0000 0.0000 0.0000
```

---

No. 20
Compound: LiAl2Au8
Source: Alexandria via LeMat-Bulk
Functional: PBE
Structure: optimized geometry

## Properties
Space-group type: P1, No. 1
N(E_F), states/eV per atom: 0.327
Energy of formation from the pure elements, eV per atom: -0.301
Polymorph energy (0 for the lowest one), eV/atom: 0.006
Raw total energy, eV/cell: -38.93

```
11
Lattice="4.8513 -0.2045 -1.4090 -1.0419 5.1865 -1.9586 -0.2696 0.4985 7.5760" Properties=species:S:1:pos:R:3 pbc="T T T"
Au 1.2082 4.3087 2.9408
Au 1.0686 1.8683 0.7644
Au 3.2402 5.0501 0.8948
Au 0.9772 3.1645 5.5398
Au 3.4528 0.0993 -0.0101
Au 3.5915 2.5422 2.1686
Au 0.3759 4.5453 0.0765
Au 3.4120 1.7431 4.9682
Al 1.3368 1.6366 3.4108
Al 3.3227 2.7714 -0.4783
Li -0.7469 5.1534 4.9749
```